## ErPuMg14 (PBE)

Data for a relaxed ErPuMg14 crystal.

Its energy is -2.55 eV per atom.

The space group is P4/mmm (No. 123) and the conventional cell measures 6.823, 6.823 and 8.246 Å, with angles of 90.00, 90.00 and 90.00 degrees. The asymmetric unit holds Er at (0.000, 0.000, 0.000), Pu at (0.500, 0.500, 0.000), Mg at (0.000, 0.000, 0.500), Mg at (0.000, 0.500, 0.000), Mg at (0.000, 0.500, 0.500), Mg at (0.249, 0.249, 0.261) and Mg at (0.500, 0.500, 0.500).


## LiZnHg2 (PBE)

Data for a relaxed LiZnHg2 crystal.

Its energy is -1.07 eV per atom.

The space group is Cm (No. 8) and the conventional cell measures 9.612, 3.473 and 4.792 Å, with angles of 90.00, 102.26 and 90.00 degrees. The asymmetric unit holds Li at (0.000, 0.000, 0.000), Zn at (0.259, 0.000, 0.716), Hg at (0.010, 0.500, 0.523) and Hg at (0.242, 0.500, 0.184).


## BaYSe2 (PBE)

Data for a relaxed BaYSe2 crystal.

The raw formation energy comes out at -0.59 eV per atom. For the energy above the most stable polymorph in this dataset, the calculation gives 1.298 eV per atom.

The space group is F-43m (No. 216) and the conventional cell measures 7.497, 7.497 and 7.497 Å, with angles of 90.00, 90.00 and 90.00 degrees. The asymmetric unit holds Ba at (0.000, 0.000, 0.000), Y at (0.250, 0.250, 0.250), Se at (0.000, 0.000, 0.500) and Se at (0.250, 0.250, 0.750).


## Ac2Ga3AgIr4 (PBE)

Data for a relaxed Ac2Ga3AgIr4 crystal.

Its energy is -6.11 eV per atom.

The space group is P-4m2 (No. 115) and the conventional cell measures 4.329, 4.329 and 10.862 Å, with angles of 90.00, 90.00 and 90.00 degrees. The asymmetric unit holds Ac at (0.000, 0.500, 0.246), Ga at (0.000, 0.500, 0.882), Ga at (0.500, 0.500, 0.500), Ag at (0.000, 0.000, 0.500), Ir at (0.000, 0.000, 0.000), Ir at (0.000, 0.500, 0.651) and Ir at (0.500, 0.500, 0.000).


## CaFe2Te (PBE)

Data for a relaxed CaFe2Te crystal.

The raw formation energy comes out at 0.16 eV per atom. For the energy above the most stable polymorph in this dataset, the calculation gives 0.276 eV per atom.

The space group is Pmmm (No. 47) and the conventional cell measures 4.136, 4.476 and 4.944 Å, with angles of 90.00, 90.00 and 90.00 degrees. The asymmetric unit holds Ca at (0.000, 0.000, 0.000), Fe at (0.500, 0.500, 0.224) and Te at (0.500, 0.000, 0.500).


## TaZnPO2 (PBE)

Data for a relaxed TaZnPO2 crystal.

The raw formation energy comes out at -1.42 eV per atom. For the energy above the most stable polymorph in this dataset, the calculation gives 0.000 eV per atom.

The space group is P4/mmm (No. 123) and the conventional cell measures 3.864, 3.864 and 5.328 Å, with angles of 90.00, 90.00 and 90.00 degrees. The asymmetric unit holds Ta at (0.000, 0.000, 0.000), Zn at (0.500, 0.500, 0.500), P at (0.000, 0.000, 0.500) and O at (0.000, 0.500, 0.000).


## Ho5Ru2Pb (PBE)

Data for a relaxed Ho5Ru2Pb crystal.

Its energy is -6.08 eV per atom.

The space group is I4/mcm (No. 140) and the conventional cell measures 7.688, 7.688 and 13.803 Å, with angles of 90.00, 90.00 and 90.00 degrees. The asymmetric unit holds Ho at (0.000, 0.000, 0.000), Ho at (0.158, 0.342, 0.130), Ru at (0.142, 0.358, 0.500) and Pb at (0.000, 0.000, 0.250).


## Tl3Ni5Se12 (PBE)

Data for a relaxed Tl3Ni5Se12 crystal.

The raw formation energy comes out at -0.10 eV per atom.

The space group is Ia-3d (No. 230) and the conventional cell measures 15.457, 15.457 and 15.457 Å, with angles of 90.00, 90.00 and 90.00 degrees. The asymmetric unit holds Tl at (0.000, 0.250, 0.125), Ni at (0.000, 0.000, 0.000), Ni at (0.000, 0.250, 0.375) and Se at (0.027, 0.043, 0.649).


no.,density (g/cm3)
1,3.25
2,10.06
3,6.06
4,12.56
5,5.07
6,6.46
7,10.05
8,6.67